Computed, not measured: crystalline CePuRuRh at its relaxed geometry at the PBE level of DFT.

Geometry as POSCAR:
```
CePuRuRh
1.0
-1.585 -3.686 -2.732
3.102 -3.421 -1.496
-0.239 -4.475 1.865
Ce Pu Rh Ru
1 1 1 1
direct
0.000 0.000 0.000 Ce
0.500 0.500 0.500 Pu
0.250 0.250 0.250 Rh
0.750 0.750 0.750 Ru
```

## Properties
Crystal system   cubic
Energy of formation   -0.380 eV per atom
SG   F-43m (216)
Energy   -9.603 eV/atom